Here is Rb3Ba3LiI8 after structural relaxation from Alexandria via LeMat-Bulk. Energies are from GGA-PBE.

Computed properties:
The calculation puts the raw total energy at -132.084 eV per cell. As for the total moment: 1.2 μB per formula unit. The raw formation energy is -1.403 eV/atom.

a b c (Å): 9.7127 9.7127 27.1145
angles (deg): 90.00 90.00 120.00
Last column: nearest neighbours and their distance in Å.
Space group R-3m (No. 166, hexagonal axes)
Symmetry-distinct sites (fractional):
Rb 0.0000 0.5000 0.0000 [9 per cell]  6 I 3.62-3.73
Ba 0.0000 0.5000 0.5000 [9 per cell]  6 I 3.52-3.58
Li 0.0000 0.0000 0.5000 [3 per cell]  6 I 3.16
I 0.0000 0.0000 0.2490 [6 per cell]  3 Ba 3.58, 3 Rb 3.62
I 0.0346 0.5173 0.2371 [18 per cell]  1 Li 3.16, 2 Ba 3.52